Entry 1:
Li6Ni2Pd | PBE | optimized geometry

Cell lengths 4.4178, 5.0341, 7.2246 Å; angles 90.00, 90.00, 63.97 degrees
Fractional positions:
Li 0.8486 0.3032 0.6958
Li 0.1518 0.6968 0.6958
Li 0.5002 0.0000 0.8181
Li 0.8482 0.3032 0.3042
Li 0.1514 0.6968 0.3042
Li 0.4998 0.0000 0.1819
Ni 0.3724 0.2551 0.5000
Ni 0.6276 0.7449 0.5000
Pd 0.0000 0.0000 0.0000

Total DFT energy (no corrections): -27.56 eV per cell
Spin magnetization: 0.00 μB per formula unit



Entry 2:
TmTlSi2O6 | PBE | optimized geometry

Cell lengths 7.1448, 7.1448, 5.5083 Å; angles 98.95, 98.95, 87.43 degrees
Fractional positions:
Tm 0.6157 0.3843 0.2500
Tm 0.3843 0.6157 0.7500
Tl 0.1862 0.8138 0.2500
Tl 0.8138 0.1862 0.7500
Si 0.2998 0.1380 0.8008
Si 0.8620 0.7002 0.6992
Si 0.7002 0.8620 0.1992
Si 0.1380 0.2998 0.3008
O 0.9231 0.3813 0.2510
O 0.6187 0.0769 0.2490
O 0.0769 0.6187 0.7490
O 0.3813 0.9231 0.7510
O 0.1722 0.1565 0.0363
O 0.8435 0.8278 0.4637
O 0.8278 0.8435 0.9637
O 0.1565 0.1722 0.5363
O 0.3196 0.4417 0.3710
O 0.5583 0.6804 0.1290
O 0.6804 0.5583 0.6290
O 0.4417 0.3196 0.8710

Spin magnetization: 0.00 μB per formula unit
Formation energy from raw total energies: -2.70 eV per atom



Entry 3:
YFeRe2 | PBE | optimized geometry

Cell lengths 4.7578, 4.7578, 8.6681 Å; angles 74.07, 74.07, 90.00 degrees
Fractional positions:
Y 0.0000 0.0000 0.0000
Y 0.7500 0.2500 0.5000
Re 0.4045 0.1250 0.2500
Re 0.3455 0.6250 0.2500
Re 0.3750 0.5955 0.7500
Re 0.8750 0.6545 0.7500
Fe 0.5000 0.5000 0.0000
Fe 0.2500 0.7500 0.5000

E above lowest polymorph: 698.0 meV/atom
Spin magnetization: 0.00 μB per formula unit